A plane-wave DFT calculation with PBE was carried out for an optimized crystal structure of La3Co2Cu.

Unit cell a=5.9686 b=11.6705 c=8.6114 alpha=90.00 beta=110.86 gamma=90.00
Closest atoms and distances in Å follow each position.
Fractional positions:
1 La 0.6482 0.2686 0.3418  2 Co 2.68-2.72
2 La 0.2968 0.5448 0.0913  2 Co 2.53-2.67
3 Co 0.3669 0.0043 0.7177  2 La 2.53-2.75, 1 Co 2.58, 1 Cu 2.58
4 Co 0.6331 0.9957 0.2823  2 La 2.53-2.75, 1 Co 2.58, 1 Cu 2.58
5 La 0.7351 0.0872 0.0205  3 Co 2.75-2.99, 1 Cu 2.99
6 Co 0.2851 0.1375 0.1506  1 Cu 2.43, 1 Co 2.58, 3 La 2.67-2.72
7 Cu 0.4413 0.8031 0.3159  2 Co 2.43-2.58
8 Co 0.1331 0.5043 0.7823  2 La 2.53-2.75, 1 Co 2.58, 1 Cu 2.58
9 La 0.1482 0.2314 0.8418  2 Co 2.68-2.72
10 Co 0.7149 0.8625 0.8494  1 Cu 2.43, 1 Co 2.58, 3 La 2.67-2.72
11 Co 0.8669 0.4957 0.2177  2 La 2.53-2.75, 1 Co 2.58, 1 Cu 2.58
12 Co 0.2149 0.6375 0.3494  1 Cu 2.43, 1 Co 2.58, 3 La 2.67-2.72
13 La 0.2649 0.9128 0.9795  3 Co 2.75-2.99, 1 Cu 2.99
14 La 0.8518 0.7686 0.1582  2 Co 2.68-2.72
15 La 0.7032 0.4552 0.9087  2 Co 2.53-2.67
16 La 0.7649 0.5872 0.4795  3 Co 2.75-2.99, 1 Cu 2.99
17 La 0.7968 0.9552 0.5913  2 Co 2.53-2.67
18 Cu 0.9413 0.6969 0.8159  2 Co 2.43-2.58
19 Cu 0.5587 0.1969 0.6841  2 Co 2.43-2.58
20 La 0.2351 0.4128 0.5205  3 Co 2.75-2.99, 1 Cu 2.99
21 La 0.2032 0.0448 0.4087  2 Co 2.53-2.67
22 Co 0.7851 0.3625 0.6506  1 Cu 2.43, 1 Co 2.58, 3 La 2.67-2.72
23 La 0.3518 0.7314 0.6582  2 Co 2.68-2.72
24 Cu 0.0587 0.3031 0.1841  2 Co 2.43-2.58

## Properties
Crystal system = monoclinic
E_form = -137 meV per atom

A plane-wave DFT calculation with PBE was carried out for an optimized crystal structure of BeSeBr2.

Unit cell a=5.0548 b=5.0813 c=5.0344 alpha=64.48 beta=82.54 gamma=115.66
Closest atoms and distances in Å follow each position.
Fractional positions:
1 Br 0.5000 0.0000 0.5000  2 Be 2.70, 2 Se 2.70
2 Se 0.0000 0.5000 0.5000  4 Br 2.70
3 Br 0.0000 0.0000 0.0000  2 Se 2.70, 2 Be 2.70
4 Be 0.5000 0.5000 0.0000  4 Br 2.70

## Properties
Crystal system = monoclinic
Energy relative to the elements, uncorrected = 388 meV/atom
Excess energy over the best structure of this formula in the dataset = 830.2 meV per atom

A plane-wave DFT calculation with PBE was carried out for an optimized crystal structure of KNa2ScCl6.

Unit cell a=7.0895 b=7.0898 c=7.6033 alpha=62.20 beta=62.20 gamma=60.00
Closest atoms and distances in Å follow each position.
Fractional positions:
1 Cl 0.5614 0.2454 0.2315  1 Sc 2.52
2 Na 0.0085 0.0083 0.9745  6 Cl 2.76-2.94
3 Cl 0.7006 0.1479 0.7743  1 Sc 2.52, 1 Na 2.76
4 K 0.8099 0.8099 0.5704  6 Cl 3.04-3.26
5 Cl 0.3773 0.7006 0.7743  1 Sc 2.52, 1 Na 2.76
6 Cl 0.2454 0.9618 0.2315  1 Sc 2.52
7 Sc 0.3264 0.3264 0.0208  6 Cl 2.52
8 Na 0.5226 0.5226 0.4319  6 Cl 2.85-2.95
9 Cl 0.1478 0.3773 0.7744  1 Sc 2.52, 1 Na 2.76
10 Cl 0.9617 0.5614 0.2315  1 Sc 2.52

## Properties
Crystal system = trigonal
Energy relative to the elements, uncorrected = -1968 meV/atom

A plane-wave DFT calculation with PBE was carried out for an optimized crystal structure of PuBi2PbO6.

Unit cell a=6.1318 b=6.1276 c=6.3635 alpha=61.05 beta=61.07 gamma=59.71
Closest atoms and distances in Å follow each position.
Fractional positions:
1 O 0.1560 0.3939 0.7614  1 Pu 2.24, 2 Bi 2.42, 1 Pb 2.50
2 Pb 0.7983 0.8001 0.6014  6 O 2.49-2.70
3 O 0.3931 0.6900 0.7614  1 Pu 2.24, 2 Bi 2.40-2.43, 1 Pb 2.50
4 O 0.2210 0.9380 0.2368  1 Pu 2.27, 2 Bi 2.38-2.44
5 O 0.9405 0.6077 0.2333  1 Pu 2.26, 2 Bi 2.40-2.44
6 O 0.6918 0.1502 0.7659  1 Pu 2.23, 2 Bi 2.38-2.47, 1 Pb 2.49
7 Pu 0.3168 0.3159 0.0506  6 O 2.23-2.27
8 Bi 0.5238 0.5283 0.4215  6 O 2.38-2.47
9 Bi 0.0164 0.0164 0.9486  6 O 2.38-2.44
10 O 0.6039 0.2212 0.2344  1 Pu 2.26, 2 Bi 2.42

## Properties
Crystal system = triclinic
Energy relative to the elements, uncorrected = -1662 meV/atom

A plane-wave DFT calculation with PBE was carried out for an optimized crystal structure of Tb8AgOs2.

Unit cell a=5.6453 b=7.7409 c=7.7409 alpha=111.51 beta=98.16 gamma=98.16
Closest atoms and distances in Å follow each position.
Fractional positions:
1 Tb 0.9090 0.9331 0.6690  2 Os 2.85-2.89
2 Tb 0.5000 0.7590 0.2410  2 Os 2.96, 1 Ag 3.08
3 Tb 0.0910 0.3310 0.0669  2 Os 2.85-2.89
4 Os 0.0000 0.6882 0.3118  8 Tb 2.85-2.98
5 Ag 0.5000 0.0000 0.0000  4 Tb 3.08-3.21
6 Tb 0.2986 0.6206 0.6206  2 Os 2.98, 1 Ag 3.21
7 Tb 0.9090 0.6690 0.9331  2 Os 2.85-2.89
8 Tb 0.7014 0.3794 0.3794  2 Os 2.98, 1 Ag 3.21
9 Tb 0.0910 0.0669 0.3310  2 Os 2.85-2.89
10 Os 0.0000 0.3118 0.6882  8 Tb 2.85-2.98
11 Tb 0.5000 0.2410 0.7590  2 Os 2.96, 1 Ag 3.08

## Properties
Crystal system = monoclinic
E_form = -137 meV per atom

A plane-wave DFT calculation with PBE was carried out for an optimized crystal structure of CsHo2AgSe4.

Unit cell a=4.2471 b=7.6179 c=14.8745 alpha=90.00 beta=90.00 gamma=106.19
Closest atoms and distances in Å follow each position.
Fractional positions:
1 Se 0.7431 0.4863 0.5969  1 Ag 2.63, 3 Ho 2.85-2.93
2 Se 0.0000 0.0000 0.5000  4 Ho 3.02
3 Se 0.7431 0.4863 0.9031  1 Ag 2.63, 3 Ho 2.85-2.93
4 Se 0.4358 0.8716 0.7500  2 Ag 2.60, 2 Ho 2.91
5 Se 0.2569 0.5137 0.4031  1 Ag 2.63, 3 Ho 2.85-2.93
6 Ho 0.3694 0.7389 0.9342  6 Se 2.85-3.02
7 Se 0.5642 0.1284 0.2500  2 Ag 2.60, 2 Ho 2.91
8 Se 0.2569 0.5137 0.0969  1 Ag 2.63, 3 Ho 2.85-2.93
9 Ag 0.8330 0.6660 0.7500  4 Se 2.60-2.63
10 Ho 0.6306 0.2611 0.0658  6 Se 2.85-3.02
11 Ho 0.6306 0.2611 0.4342  6 Se 2.85-3.02
12 Se 0.0000 0.0000 0.0000  4 Ho 3.02
13 Ag 0.1670 0.3340 0.2500  4 Se 2.60-2.63
14 Ho 0.3694 0.7389 0.5658  6 Se 2.85-3.02
15 Cs 0.8826 0.7652 0.2500  6 Se 3.40-3.62, 2 Ag 3.80
16 Cs 0.1174 0.2348 0.7500  6 Se 3.40-3.62, 2 Ag 3.80

## Properties
Crystal system = orthorhombic
Energy relative to the elements, uncorrected = -1443 meV/atom

A plane-wave DFT calculation with PBE was carried out for an optimized crystal structure of YPt3Au.

Unit cell a=5.0627 b=5.0627 c=5.0627 alpha=90.00 beta=90.00 gamma=90.00
Closest atoms and distances in Å follow each position.
Fractional positions:
1 Pt 0.0000 0.5000 0.0000  2 Y 2.53
2 Au 0.5000 0.5000 0.5000  12 Pt 3.58
3 Pt 0.5000 0.0000 0.0000  2 Y 2.53
4 Y 0.0000 0.0000 0.0000  6 Pt 2.53
5 Pt 0.0000 0.0000 0.5000  2 Y 2.53

## Properties
Crystal system = cubic
E_form = 1027 meV per atom
Excess energy over the best structure of this formula in the dataset = 1666.8 meV per atom

A plane-wave DFT calculation with PBE was carried out for an optimized crystal structure of Rb2HgAsI6.

Unit cell a=8.5096 b=8.5029 c=8.5523 alpha=120.87 beta=120.93 gamma=88.93
Closest atoms and distances in Å follow each position.
Fractional positions:
1 I 0.2809 0.2796 0.0911  1 As 2.90
2 Rb 0.2493 0.7530 0.4994  8 I 3.86-4.31
3 I 0.7543 0.2442 0.9942  1 As 2.92, 1 Hg 3.04
4 I 0.7197 0.7219 0.9097  1 As 2.88
5 Hg 0.4984 0.4989 0.0001  6 I 3.04-3.30
6 Rb 0.7520 0.2492 0.5027  7 I 3.86-4.22
7 I 0.2455 0.7566 0.0032  1 As 2.92, 1 Hg 3.04
8 I 0.1966 0.2013 0.4797  1 As 2.90, 1 Hg 3.12
9 As 0.9990 0.9995 0.9991  6 I 2.88-2.92
10 I 0.8034 0.7997 0.5186  1 As 2.91, 1 Hg 3.12

## Properties
Crystal system = triclinic
Energy relative to the elements, uncorrected = -689 meV/atom

A plane-wave DFT calculation with PBE was carried out for an optimized crystal structure of BiTe2H2.

Unit cell a=5.2842 b=4.4619 c=8.1319 alpha=105.14 beta=65.56 gamma=64.47
Closest atoms and distances in Å follow each position.
Fractional positions:
1 Bi 0.0000 0.0000 0.0000  2 H 2.26
2 Te 0.5506 0.0739 0.6960  1 H 1.80
3 H 0.7679 0.0267 0.8206  1 Te 1.80
4 H 0.2321 0.9733 0.1794  1 Te 1.80
5 Te 0.4494 0.9261 0.3040  1 H 1.80

## Properties
Crystal system = triclinic
Excess energy over the best structure of this formula in the dataset = 0.0 meV per atom

A plane-wave DFT calculation with PBE was carried out for an optimized crystal structure of Y2Co15Cu2.

Unit cell a=6.2794 b=6.2794 c=6.2794 alpha=83.57 beta=83.57 gamma=83.57
Closest atoms and distances in Å follow each position.
Fractional positions:
1 Co 0.7121 0.2879 0.0000  8 Co 2.36-2.55
2 Co 0.2879 0.0000 0.7121  8 Co 2.36-2.55
3 Co 0.6516 0.6516 0.1536  8 Co 2.43-2.55, 1 Cu 2.61
4 Co 0.1536 0.6516 0.6516  8 Co 2.43-2.55, 1 Cu 2.61
5 Co 0.0000 0.2879 0.7121  8 Co 2.36-2.55
6 Co 0.5000 0.0000 0.0000  8 Co 2.36-2.43, 2 Cu 2.54
7 Co 0.3484 0.3484 0.8464  8 Co 2.43-2.55, 1 Cu 2.61
8 Co 0.2879 0.7121 0.0000  8 Co 2.36-2.55
9 Co 0.8464 0.3484 0.3484  8 Co 2.43-2.55, 1 Cu 2.61
10 Co 0.0000 0.5000 0.0000  8 Co 2.36-2.43, 2 Cu 2.54
11 Co 0.7121 0.0000 0.2879  8 Co 2.36-2.55
12 Cu 0.1013 0.1013 0.1013  1 Cu 2.44, 12 Co 2.54-2.70
13 Co 0.0000 0.0000 0.5000  8 Co 2.36-2.43, 2 Cu 2.54
14 Y 0.3438 0.3438 0.3438  1 Cu 2.92, 18 Co 2.95-3.22
15 Co 0.3484 0.8464 0.3484  8 Co 2.43-2.55, 1 Cu 2.61
16 Co 0.0000 0.7121 0.2879  8 Co 2.36-2.55
17 Co 0.6516 0.1536 0.6516  8 Co 2.43-2.55, 1 Cu 2.61
18 Y 0.6562 0.6562 0.6562  1 Cu 2.92, 18 Co 2.95-3.22
19 Cu 0.8987 0.8987 0.8987  1 Cu 2.44, 12 Co 2.54-2.70

## Properties
Crystal system = trigonal
E_form = -68 meV per atom